# PBE TlSb2P, optimized geometry
data_TlSb2P
_chemical_formula_sum 'Tl4 Sb8 P4'
_space_group_name_H-M_alt 'F m -3 m'
_space_group_IT_number 225
_space_group_name_Hall '-F 4 2 3'
_cell_length_a 7.3359
_cell_length_b 7.3359
_cell_length_c 7.3359
_cell_angle_alpha 90.00
_cell_angle_beta 90.00
_cell_angle_gamma 90.00
loop_
_atom_site_label
_atom_site_type_symbol
_atom_site_fract_x
_atom_site_fract_y
_atom_site_fract_z
_atom_site_occupancy
Tl1 Tl 0.0000 0.0000 0.0000 1
Sb1 Sb 0.2500 0.2500 0.2500 1
P1 P 0.0000 0.0000 0.5000 1
# - E_form (uncorrected): 0.4659 eV/atom
# - Volume: 394.8 Å³ per cell
# - ΔE to the lowest computed polymorph: 0.3322 eV/atom

---

# PBE TlSbP2, optimized geometry
data_TlSbP2
_chemical_formula_sum 'Tl1 Sb1 P2'
_space_group_name_H-M_alt 'P 4/m m m'
_space_group_IT_number 123
_space_group_name_Hall '-P 4 2'
_cell_length_a 4.8884
_cell_length_b 4.8884
_cell_length_c 3.5796
_cell_angle_alpha 90.00
_cell_angle_beta 90.00
_cell_angle_gamma 90.00
loop_
_atom_site_label
_atom_site_type_symbol
_atom_site_fract_x
_atom_site_fract_y
_atom_site_fract_z
_atom_site_occupancy
Tl1 Tl 0.0000 0.0000 0.0000 1
Sb1 Sb 0.5000 0.5000 0.0000 1
P1 P 0.0000 0.5000 0.5000 1
# - E_form (uncorrected): 0.5595 eV/atom
# - Volume: 85.5 Å³ per cell
# - ΔE to the lowest computed polymorph: 0.4133 eV/atom

---

# PBE TlSb2P, optimized geometry
data_TlSb2P
_chemical_formula_sum 'Tl2 Sb4 P2'
_space_group_name_H-M_alt 'I 4/m m m'
_space_group_IT_number 139
_space_group_name_Hall '-I 4 2'
_cell_length_a 4.4075
_cell_length_b 4.4075
_cell_length_c 10.5706
_cell_angle_alpha 90.00
_cell_angle_beta 90.00
_cell_angle_gamma 90.00
loop_
_atom_site_label
_atom_site_type_symbol
_atom_site_fract_x
_atom_site_fract_y
_atom_site_fract_z
_atom_site_occupancy
Tl1 Tl 0.0000 0.0000 0.0000 1
Sb1 Sb 0.0000 0.5000 0.2500 1
P1 P 0.0000 0.0000 0.5000 1
# - E_form (uncorrected): 0.4612 eV/atom
# - Volume: 205.3 Å³ per cell
# - ΔE to the lowest computed polymorph: 0.3275 eV/atom

---

# PBE TlSbP2, optimized geometry
data_TlSbP2
_chemical_formula_sum 'Tl1 Sb1 P2'
_space_group_name_H-M_alt 'P 1 2/m 1'
_space_group_IT_number 10
_space_group_name_Hall '-P 2y'
_cell_length_a 2.8654
_cell_length_b 4.0107
_cell_length_c 8.2802
_cell_angle_alpha 90.00
_cell_angle_beta 96.02
_cell_angle_gamma 90.00
loop_
_atom_site_label
_atom_site_type_symbol
_atom_site_fract_x
_atom_site_fract_y
_atom_site_fract_z
_atom_site_occupancy
Tl1 Tl 0.0000 0.0000 0.0000 1
Sb1 Sb 0.0000 0.0000 0.5000 1
P1 P 0.0745 0.5000 0.7268 1
# - E_form (uncorrected): 0.3503 eV/atom
# - Volume: 94.6 Å³ per cell
# - ΔE to the lowest computed polymorph: 0.2041 eV/atom

---

# PBE TlSb2P, optimized geometry
data_TlSb2P
_chemical_formula_sum 'Tl1 Sb2 P1'
_space_group_name_H-M_alt 'P 1 m 1'
_space_group_IT_number 6
_space_group_name_Hall 'P -2y'
_cell_length_a 3.1338
_cell_length_b 5.4909
_cell_length_c 6.5021
_cell_angle_alpha 90.00
_cell_angle_beta 90.20
_cell_angle_gamma 90.00
loop_
_atom_site_label
_atom_site_type_symbol
_atom_site_fract_x
_atom_site_fract_y
_atom_site_fract_z
_atom_site_occupancy
Tl1 Tl 0.0000 0.0000 0.0000 1
Sb1 Sb 0.4933 0.5000 0.7648 1
Sb2 Sb 0.5086 0.0000 0.4865 1
P1 P 0.4905 0.5000 0.3689 1
# - E_form (uncorrected): 0.2263 eV/atom
# - Volume: 111.9 Å³ per cell
# - ΔE to the lowest computed polymorph: 0.0927 eV/atom

---

# PBE TlSbP3, optimized geometry
data_TlSbP3
_chemical_formula_sum 'Tl1 Sb1 P3'
_space_group_name_H-M_alt 'P m -3 m'
_space_group_IT_number 221
_space_group_name_Hall '-P 4 2 3'
_cell_length_a 5.1241
_cell_length_b 5.1241
_cell_length_c 5.1241
_cell_angle_alpha 90.00
_cell_angle_beta 90.00
_cell_angle_gamma 90.00
loop_
_atom_site_label
_atom_site_type_symbol
_atom_site_fract_x
_atom_site_fract_y
_atom_site_fract_z
_atom_site_occupancy
Tl1 Tl 0.0000 0.0000 0.0000 1
Sb1 Sb 0.5000 0.5000 0.5000 1
P1 P 0.0000 0.5000 0.5000 1
# - E_form (uncorrected): 0.9262 eV/atom
# - Volume: 134.5 Å³ per cell
# - ΔE to the lowest computed polymorph: 0.0000 eV/atom

---

# PBE TlSb2P, optimized geometry
data_TlSb2P
_chemical_formula_sum 'Tl1 Sb2 P1'
_space_group_name_H-M_alt 'P 4/m m m'
_space_group_IT_number 123
_space_group_name_Hall '-P 4 2'
_cell_length_a 3.5511
_cell_length_b 3.5511
_cell_length_c 8.2208
_cell_angle_alpha 90.00
_cell_angle_beta 90.00
_cell_angle_gamma 90.00
loop_
_atom_site_label
_atom_site_type_symbol
_atom_site_fract_x
_atom_site_fract_y
_atom_site_fract_z
_atom_site_occupancy
Tl1 Tl 0.0000 0.0000 0.0000 1
Sb1 Sb 0.5000 0.5000 0.3126 1
P1 P 0.0000 0.0000 0.5000 1
# - E_form (uncorrected): 0.2913 eV/atom
# - Volume: 103.7 Å³ per cell
# - ΔE to the lowest computed polymorph: 0.1576 eV/atom

---

# PBE TlSb2P, optimized geometry
data_TlSb2P
_chemical_formula_sum 'Tl4 Sb8 P4'
_space_group_name_H-M_alt 'F -4 3 m'
_space_group_IT_number 216
_space_group_name_Hall 'F -4 2 3'
_cell_length_a 7.3471
_cell_length_b 7.3471
_cell_length_c 7.3471
_cell_angle_alpha 90.00
_cell_angle_beta 90.00
_cell_angle_gamma 90.00
loop_
_atom_site_label
_atom_site_type_symbol
_atom_site_fract_x
_atom_site_fract_y
_atom_site_fract_z
_atom_site_occupancy
Tl1 Tl 0.0000 0.0000 0.0000 1
Sb1 Sb 0.0000 0.0000 0.5000 1
Sb2 Sb 0.2500 0.2500 0.7500 1
P1 P 0.2500 0.2500 0.2500 1
# - E_form (uncorrected): 0.4264 eV/atom
# - Volume: 396.6 Å³ per cell
# - ΔE to the lowest computed polymorph: 0.2928 eV/atom

---

- What is the ΔE to the lowest computed polymorph in the sixth record?
  0.0000 eV/atom

---

- Which formula does entry 2 have?
  TlSbP2